Entry 1:
Density functional theory data (GGA-PBE) for a relaxed structure of CaCd2In2Hg7.

Cell and atoms, written as extended XYZ:
```
12
Lattice="3.389 -3.224 0.000 3.389 3.224 0.000 -0.106 0.000 14.243" Properties=species:S:1:pos:R:3 pbc="T T T"
Ca 0.000 0.000 0.000
Cd 3.338 0.000 4.548
Cd 3.335 0.000 9.696
In -0.068 0.000 9.624
In 6.741 0.000 4.619
Hg 1.679 1.610 2.330
Hg 1.717 0.000 7.133
Hg 1.679 -1.610 2.330
Hg 3.389 0.000 0.000
Hg 4.994 1.610 11.914
Hg 4.955 0.000 7.110
Hg 4.994 -1.610 11.914
```

Spin magnetization in μB/f.u.: 0.0
Density of states at the Fermi level in states/eV/f.u.: 6.12
Formation energy in eV/atom: -0.111
Total energy in eV per atom: -1.063
Symmetry: C2/m (12)
Calculated density in Mg/m³: 10.13

=====

Entry 2:
Density functional theory data (GGA-PBE) for a relaxed structure of K2CaCd3Hg12.

Cell and atoms, written as extended XYZ:
```
18
Lattice="3.546 2.047 12.818 -3.546 2.047 12.818 0.000 -4.095 12.818" Properties=species:S:1:pos:R:3 pbc="T T T"
K 0.000 0.000 5.268
K 0.000 0.000 33.186
Ca 0.000 0.000 19.227
Cd -1.773 -1.024 12.818
Cd -1.773 1.024 25.636
Cd 0.000 2.047 12.818
Hg -1.875 -1.083 17.016
Hg 0.000 -2.318 10.811
Hg -2.008 1.159 10.811
Hg -2.008 -1.159 27.644
Hg 0.000 -2.165 21.438
Hg -1.875 1.083 21.438
Hg 1.875 -1.083 17.016
Hg 0.000 2.165 17.016
Hg 2.008 1.159 10.811
Hg 2.008 -1.159 27.644
Hg 0.000 2.318 27.644
Hg 1.875 1.083 21.438
```

Spin magnetization in μB/f.u.: 0.0
Density of states at the Fermi level in states/eV/f.u.: 9.68
Formation energy in eV/atom: -0.104
Total energy in eV per atom: -0.691
Symmetry: R-3m (166)
Calculated density in Mg/m³: 8.51

=====

Entry 3:
Density functional theory data (GGA-PBE) for a relaxed structure of KCaCdHg.

Cell and atoms, written as extended XYZ:
```
4
Lattice="0.000 3.995 3.995 3.995 0.000 3.995 3.995 3.995 0.000" Properties=species:S:1:pos:R:3 pbc="T T T"
K 0.000 0.000 0.000
Ca 3.995 3.995 3.995
Cd 5.992 5.992 5.992
Hg 1.997 1.997 1.997
```

Spin magnetization in μB/f.u.: 0.0
Density of states at the Fermi level in states/eV/f.u.: 4.46
Formation energy in eV/atom: -0.161
Total energy in eV per atom: -1.240
Symmetry: F-43m (216)
Calculated density in Mg/m³: 5.11

=====

Entry 4:
Density functional theory data (GGA-PBE) for a relaxed structure of Ca2LaCd2Hg2.

Cell and atoms, written as extended XYZ:
```
7
Lattice="2.516 1.452 9.339 -2.516 1.452 9.339 0.000 -2.905 9.339" Properties=species:S:1:pos:R:3 pbc="T T T"
Ca 0.000 0.000 3.514
Ca 0.000 0.000 24.502
La 0.000 0.000 0.000
Cd 0.000 0.000 7.349
Cd 0.000 0.000 20.667
Hg 0.000 0.000 11.117
Hg 0.000 0.000 16.899
```

Spin magnetization in μB/f.u.: 0.0
Density of states at the Fermi level in states/eV/f.u.: 4.48
Formation energy in eV/atom: -0.343
Total energy in eV per atom: -1.966
Symmetry: R-3m (166)
Calculated density in Mg/m³: 6.85

=====

Entry 5:
Density functional theory data (GGA-PBE) for a relaxed structure of LiCa2CdHg2.

Cell and atoms, written as extended XYZ:
```
12
Lattice="-3.117 8.016 3.133 3.117 -8.016 3.133 3.117 8.016 -3.133" Properties=species:S:1:pos:R:3 pbc="T T T"
Li 0.000 0.000 1.566
Li 0.000 0.000 4.699
Ca 4.561 2.773 0.000
Ca 1.445 5.243 0.000
Ca 1.672 2.773 3.133
Ca -1.445 5.243 3.133
Cd 3.117 0.000 1.566
Cd 0.000 8.016 1.566
Hg 1.408 2.014 0.000
Hg 1.408 -2.014 3.133
Hg 1.709 10.030 0.000
Hg 1.709 6.002 3.133
```

Spin magnetization in μB/f.u.: 0.0
Density of states at the Fermi level in states/eV/f.u.: 3.59
Formation energy in eV/atom: -0.407
Total energy in eV per atom: -1.646
Symmetry: Ibam (72)
Calculated density in Mg/m³: 6.37

=====

Entry 6:
Density functional theory data (GGA-PBE) for a relaxed structure of Li2CaCdHg2.

Cell and atoms, written as extended XYZ:
```
6
Lattice="4.804 0.000 0.000 -2.402 4.161 0.000 0.000 0.000 6.634" Properties=species:S:1:pos:R:3 pbc="T T T"
Li 0.000 2.774 1.170
Li 2.402 1.387 5.463
Ca 0.000 0.000 3.317
Cd 0.000 0.000 0.000
Hg 0.000 2.774 5.018
Hg 2.402 1.387 1.616
```

Spin magnetization in μB/f.u.: 0.0
Density of states at the Fermi level in states/eV/f.u.: 3.83
Formation energy in eV/atom: -0.376
Total energy in eV per atom: -1.601
Symmetry: P-3m1 (164)
Calculated density in Mg/m³: 7.11